Entry 1:
TlMo2W2 | GGA-PBE | optimized geometry

Properties
DOS(E_F)	10.4	states/eV per cell
relative energy among the computed polymorphs	0.000	eV per atom

The structure in CIF format:
```
data_TlMo2W2
_symmetry_space_group_name_H-M 'P 1'
_symmetry_Int_Tables_number 1
_cell_length_a 7.782
_cell_length_b 7.782
_cell_length_c 3.014
_cell_angle_alpha 90.00
_cell_angle_beta 90.00
_cell_angle_gamma 90.00
loop_
_symmetry_equiv_pos_as_xyz
'x,y,z'
loop_
_atom_site_label
_atom_site_fract_x
_atom_site_fract_y
_atom_site_fract_z
_atom_site_occupancy
Mo1 0.644 0.144 0.000 1
W1 0.146 0.646 0.500 1
W2 0.646 0.854 0.500 1
Tl1 0.500 0.500 0.000 1
Tl2 0.000 0.000 0.000 1
W3 0.854 0.354 0.500 1
Mo2 0.856 0.644 0.000 1
Mo3 0.144 0.356 0.000 1
Mo4 0.356 0.856 0.000 1
W4 0.354 0.146 0.500 1
```

Entry 2:
CsPa2SiN5 | GGA-PBE | optimized geometry

Properties
formation energy without anion corrections	-0.96	eV/atom

The structure in CIF format:
```
data_CsPa2SiN5
_symmetry_space_group_name_H-M 'P 1'
_symmetry_Int_Tables_number 1
_cell_length_a 6.817
_cell_length_b 6.817
_cell_length_c 7.360
_cell_angle_alpha 117.59
_cell_angle_beta 117.59
_cell_angle_gamma 90.00
loop_
_symmetry_equiv_pos_as_xyz
'x,y,z'
loop_
_atom_site_label
_atom_site_fract_x
_atom_site_fract_y
_atom_site_fract_z
_atom_site_occupancy
Pa1 0.306 0.806 0.000 1
Si1 0.750 0.250 0.500 1
N1 0.497 0.737 0.734 1
Si2 0.250 0.750 0.500 1
N2 0.997 0.497 0.734 1
Pa2 0.194 0.306 0.000 1
N3 0.237 0.997 0.734 1
Cs1 0.250 0.250 0.500 1
N4 0.503 0.263 0.266 1
N5 0.263 0.763 0.266 1
N6 0.737 0.237 0.734 1
N7 0.763 0.003 0.266 1
N8 0.500 0.500 0.000 1
Cs2 0.750 0.750 0.500 1
N9 0.003 0.503 0.266 1
Pa3 0.806 0.694 0.000 1
N10 0.000 0.000 0.000 1
Pa4 0.694 0.194 0.000 1
```